Entry 1:
Below is a relaxed CsAs4 crystal, with properties calculated at the PBE level.

Unit cell a=5.671 b=5.671 c=5.671 alpha=90.00 beta=90.00 gamma=90.00
Each line ends with the local moment (μB).
Fractional positions:
1 As 0.500 0.000 0.500  0.09
2 As 0.000 0.500 0.500  0.09
3 As 0.000 0.000 0.000  -0.30
4 As 0.500 0.500 0.000  0.09
5 Cs 0.500 0.500 0.500  0.00

Summary:
* E: -1.880 eV/atom
* calculated density: 3.94 g/cm3
* energy of formation from the pure elements: 2011 meV/atom
* total moment: 0.06 μB per formula unit

***

Entry 2:
Below is a relaxed CsAs crystal, with properties calculated at the PBE level.

Unit cell a=6.853 b=7.420 c=12.868 alpha=90.00 beta=90.00 gamma=90.00
Fractional positions:
1 As 0.834 0.811 0.400
2 As 0.094 0.916 0.528
3 As 0.334 0.689 0.600
4 As 0.666 0.189 0.900
5 As 0.594 0.584 0.472
6 As 0.906 0.416 0.972
7 As 0.166 0.311 0.100
8 As 0.406 0.084 0.028
9 Cs 0.898 0.889 0.081
10 Cs 0.602 0.111 0.581
11 Cs 0.102 0.389 0.419
12 Cs 0.398 0.611 0.919
13 Cs 0.167 0.150 0.786
14 Cs 0.333 0.850 0.286
15 Cs 0.667 0.350 0.214
16 Cs 0.833 0.650 0.714

Summary:
* E: -3.204 eV/atom
* calculated density: 4.22 g/cm3
* energy of formation from the pure elements: -453 meV/atom
* energy above the most stable polymorph in this dataset: 0 meV per atom
* total moment: 0.00 μB per formula unit

***

Entry 3:
Below is a relaxed CsAs crystal, with properties calculated at the PBE level.

Unit cell a=5.734 b=4.252 c=7.094 alpha=90.00 beta=113.86 gamma=90.00
Fractional positions:
1 As 0.944 0.750 0.889
2 As 0.056 0.250 0.111
3 Cs 0.359 0.250 0.720
4 Cs 0.641 0.750 0.280

Summary:
* E: -3.169 eV/atom
* calculated density: 4.36 g/cm3
* energy of formation from the pure elements: -418 meV/atom
* energy above the most stable polymorph in this dataset: 35 meV per atom
* total moment: 0.00 μB per formula unit

***

Entry 4:
Below is a relaxed CsAs crystal, with properties calculated at the PBE level.

Unit cell a=3.663 b=3.663 c=12.755 alpha=90.00 beta=90.00 gamma=120.00
Fractional positions:
1 Cs 0.667 0.333 0.322
2 Cs 0.333 0.667 0.822
3 As 0.333 0.667 0.096
4 As 0.667 0.333 0.596

Summary:
* E: -2.304 eV/atom
* calculated density: 4.66 g/cm3
* energy of formation from the pure elements: 447 meV/atom
* energy above the most stable polymorph in this dataset: 900 meV per atom
* total moment: 0.00 μB per formula unit